(1)
NaAlSi2H2O7: optimized geometry, PBEsol.

Values from the calculation:
SG   No. 15
Crystal system   monoclinic
Calculated total energy   -7.007 eV per atom

```
NaAlSi2H2O7
1.0
9.7138 -6.9333 0.0000
9.7138 6.9333 0.0000
-9.5131 0.0000 9.7686
Na Al Si H O
8 8 16 16 56
direct
0.1002 0.8998 0.7500
0.1194 0.5670 0.3107
0.3711 0.6289 0.2500
0.4330 0.8806 0.1893
0.5670 0.1194 0.8107
0.6289 0.3711 0.7500
0.8806 0.4330 0.6893
0.8998 0.1002 0.2500
0.0385 0.2158 0.7914
0.2158 0.0385 0.2914
0.2928 0.4682 0.5388
0.4682 0.2928 0.0388
0.5318 0.7072 0.9612
0.7072 0.5318 0.4612
0.7842 0.9615 0.7086
0.9615 0.7842 0.2086
0.0345 0.2946 0.2589
0.0911 0.7597 0.0433
0.2149 0.4749 0.9352
0.2403 0.9089 0.4567
0.2432 0.5755 0.7813
0.2946 0.0345 0.7589
0.4245 0.7568 0.7187
0.4749 0.2149 0.4352
0.5251 0.7851 0.5648
0.5755 0.2432 0.2813
0.7054 0.9655 0.2411
0.7568 0.4245 0.2187
0.7597 0.0911 0.5433
0.7851 0.5251 0.0648
0.9089 0.2403 0.9567
0.9655 0.7054 0.7411
0.0676 0.8042 0.4785
0.1569 0.7168 0.5501
0.1958 0.9324 0.0215
0.2832 0.8431 0.9499
0.3435 0.3961 0.2252
0.3961 0.3435 0.7252
0.4024 0.5226 0.3706
0.4774 0.5976 0.1294
0.5226 0.4024 0.8706
0.5976 0.4774 0.6294
0.6039 0.6565 0.2748
0.6565 0.6039 0.7748
0.7168 0.1569 0.0501
0.8042 0.0676 0.9785
0.8431 0.2832 0.4499
0.9324 0.1958 0.5215
0.0011 0.7201 0.8828
0.0039 0.2129 0.8972
0.0650 0.7590 0.5194
0.0839 0.1530 0.2604
0.0927 0.3750 0.8555
0.1057 0.6632 0.7299
0.1120 0.8085 0.3659
0.1452 0.4151 0.3804
0.1530 0.0839 0.7604
0.1910 0.6267 0.0483
0.1915 0.8880 0.1341
0.2129 0.0039 0.3972
0.2145 0.4882 0.8228
0.2410 0.9350 0.9806
0.2799 0.9989 0.6172
0.2844 0.4691 0.6633
0.3151 0.6343 0.5854
0.3157 0.4850 0.2843
0.3368 0.8943 0.7701
0.3658 0.4344 0.0294
0.3657 0.6849 0.9146
0.3733 0.8090 0.4517
0.3750 0.0927 0.3555
0.4151 0.1452 0.8804
0.4344 0.3658 0.5294
0.4691 0.2844 0.1633
0.4850 0.3157 0.7843
0.4882 0.2145 0.3228
0.5118 0.7855 0.6772
0.5150 0.6843 0.2157
0.5309 0.7156 0.8367
0.5656 0.6342 0.4706
0.5849 0.8548 0.1196
0.6250 0.9073 0.6445
0.6267 0.1910 0.5483
0.6343 0.3151 0.0854
0.6342 0.5656 0.9706
0.6632 0.1057 0.2299
0.6843 0.5150 0.7157
0.6849 0.3657 0.4146
0.7156 0.5309 0.3367
0.7201 0.0011 0.3828
0.7590 0.0650 0.0194
0.7855 0.5118 0.1772
0.7871 0.9961 0.6028
0.8085 0.1120 0.8659
0.8090 0.3733 0.9517
0.8470 0.9161 0.2396
0.8548 0.5849 0.6196
0.8880 0.1915 0.6341
0.8943 0.3368 0.2701
0.9073 0.6250 0.1445
0.9161 0.8470 0.7396
0.9350 0.2410 0.4806
0.9961 0.7871 0.1028
0.9989 0.2799 0.1172
```


(2)
CaMnP2: optimized geometry, PBEsol.

Values from the calculation:
Energy relative to the elements   -0.658 eV per atom
SG   No. 166
Crystal system   trigonal

```
CaMnP2
1.0
1.8318 1.0576 5.9143
-1.8318 1.0576 5.9143
0.0000 -2.1152 5.9143
Ca Mn P
1 1 2
direct
0.0000 0.0000 0.0000
0.5000 0.5000 0.5000
0.2283 0.2283 0.2283
0.7717 0.7717 0.7717
```


(3)
TaAl4: optimized geometry, PBEsol.

Values from the calculation:
Energy relative to the elements   -0.160 eV per atom
SG   No. 87
Crystal system   tetragonal

```
TaAl4
1.0
-3.2743 3.2743 1.8604
3.2743 -3.2743 1.8604
3.2743 3.2743 -1.8604
Ta Al
1 4
direct
0.0000 0.0000 0.0000
0.2028 0.6112 0.8140
0.3888 0.2028 0.5917
0.6112 0.7972 0.4083
0.7972 0.3888 0.1860
```


(4)
Lu2B6Rh9: optimized geometry, PBEsol.

Values from the calculation:
Energy relative to the elements   -0.652 eV per atom
SG   No. 191
Crystal system   hexagonal

```
Lu2B6Rh9
1.0
5.5008 0.0000 0.0000
-2.7504 4.7638 0.0000
0.0000 0.0000 8.4769
Lu B Rh
2 6 9
direct
0.0000 0.0000 0.2039
0.0000 0.0000 0.7961
0.3333 0.6667 0.1676
0.3333 0.6667 0.5000
0.3333 0.6667 0.8324
0.6667 0.3333 0.1676
0.6667 0.3333 0.5000
0.6667 0.3333 0.8324
0.0000 0.5000 0.0000
0.0000 0.5000 0.3352
0.0000 0.5000 0.6648
0.5000 0.0000 0.0000
0.5000 0.0000 0.3352
0.5000 0.0000 0.6648
0.5000 0.5000 0.0000
0.5000 0.5000 0.3352
0.5000 0.5000 0.6648
```


Asked for Fermi-level density of states across the records above, the calculation gives 0.00; 1.71; 2.90; 2.58 states/eV/f.u. in order.